DFT (PBE) results for crystalline DyYNiPt at its relaxed geometry.

a = 4.308 Å, b = 3.837 Å, c = 10.363 Å
α = 90.00°, β = 90.00°, γ = 90.00°
Space group Amm2 (No. 38)
Symmetry-distinct sites (fractional):
1 Dy 0.000 0.000 0.000
2 Y 0.500 0.000 0.281
3 Ni 0.500 0.000 0.560
4 Pt 0.000 0.000 0.716

Summary:
ΔH_f (0 K) = -864 meV/atom
Total DFT energy (no corrections) = -6.59 eV/atom
M_tot = 0.0 μB/f.u.

---

DFT (PBE) results for crystalline KTb4DyS8 at its relaxed geometry.

a = 8.2507 Å, b = 8.2507 Å, c = 20.1591 Å
α = 90.00°, β = 90.00°, γ = 120.00°
Space group R3m (No. 160, hexagonal axes)
Symmetry-distinct sites (fractional):
1 K 0.0000 0.0000 0.0000
2 Tb 0.0000 0.0000 0.7505
3 Tb 0.0119 0.5060 0.8769
4 Dy 0.0000 0.0000 0.3709
5 S 0.0000 0.0000 0.1418
6 S 0.0000 0.0000 0.6180
7 S 0.0205 0.5102 0.1276
8 S 0.1890 0.3779 0.9537

Summary:
Total DFT energy (no corrections) = -6.03 eV/atom
M_tot = 0.0 μB/f.u.
Formation energy without anion corrections = -1.937 eV per atom

---

DFT (PBE) results for crystalline NdY15Ho4 at its relaxed geometry.

a = 5.044 Å, b = 5.044 Å, c = 25.229 Å
α = 90.00°, β = 90.00°, γ = 90.00°
Space group P4/mmm (No. 123)
Symmetry-distinct sites (fractional):
1 Nd 0.000 0.000 0.000
2 Y 0.000 0.500 0.101
3 Y 0.000 0.500 0.301
4 Y 0.000 0.500 0.500
5 Y 0.500 0.500 0.000
6 Y 0.500 0.500 0.201
7 Y 0.500 0.500 0.400
8 Ho 0.000 0.000 0.201
9 Ho 0.000 0.000 0.400

Summary:
ΔH_f (0 K) = 24 meV/atom
Total DFT energy (no corrections) = -5.98 eV/atom
M_tot = 0.0 μB/f.u.

---

DFT (PBE) results for crystalline Li3EuAu at its relaxed geometry.

a = 4.988 Å, b = 4.988 Å, c = 4.988 Å
α = 90.00°, β = 90.00°, γ = 90.00°
Space group Pm-3m (No. 221)
Symmetry-distinct sites (fractional):
1 Li 0.000 0.000 0.500
2 Eu 0.500 0.500 0.500
3 Au 0.000 0.000 0.000

Summary:
ΔH_f (0 K) = -176 meV/atom
Total DFT energy (no corrections) = -4.03 eV/atom
M_tot = 7.6 μB/f.u.

---

Q: Look up the total DFT energy (no corrections) of the third one.
A: -5.98 eV/atom